DFT (GGA-PBE) results for a relaxed structure of Gd3CdN.

## Properties
E   -11.10 eV per atom
D(E_F)   4.1 states/eV/cell
Formation energy without anion corrections   -802 meV per atom

```
Gd3CdN
1.0
4.8981 0.0000 0.0000
0.0000 4.8981 0.0000
0.0000 0.0000 4.8981
Gd Cd N
3 1 1
Direct
0.0000 0.0000 0.5000
0.0000 0.5000 0.0000
0.5000 0.0000 0.0000
0.5000 0.5000 0.5000
0.0000 0.0000 0.0000
```